Record 1
# CsSn4Se8

A relaxed structure of CsSn4Se8 (PBE, the Alexandria database).

a b c (Å): 7.8247 7.8247 27.7171
angles (deg): 90.00 90.00 120.00
Space group R-3m (No. 166, hexagonal axes)
One atom of each set of equivalent atoms:
Cs 0.0000 0.0000 0.0000
Sn 0.0000 0.0000 0.5000
Sn 0.0000 0.5000 0.5000
Se 0.0000 0.0000 0.2242
Se 0.0012 0.5006 0.7757

As for the crystal system: trigonal. The value obtained for the magnetization is 0.00 μB per cell. For the energy, the calculation gives -3.954 eV/atom. For the uncorrected formation energy, the calculation gives -0.51 eV per atom.


Record 2
# Li3PtAu

A relaxed structure of Li3PtAu (PBE, the Alexandria database).

a b c (Å): 6.0598 4.0033 6.1373
angles (deg): 90.00 94.18 90.00
Space group P2_1/m (No. 11)
One atom of each set of equivalent atoms:
Li 0.1547 0.2500 0.0485
Li 0.2364 0.7500 0.7460
Li 0.3236 0.2500 0.4436
Pt 0.0467 0.7500 0.3466
Au 0.4514 0.7500 0.1637

As for the crystal system: monoclinic. The calculation puts the formation energy at -0.49 eV/atom. The energy above the lowest structure with this stoichiometry comes out at 0.0000 eV per atom. The value obtained for the magnetization is 0.00 μB per cell. For the energy, the calculation gives -3.504 eV/atom.


Record 3
# TiSnS2Cl

A relaxed structure of TiSnS2Cl (PBE, the Alexandria database).

a b c (Å): 5.0634 5.0634 5.0155
angles (deg): 90.00 90.00 90.00
Space group P4/mmm (No. 123)
One atom of each set of equivalent atoms:
Ti 0.0000 0.0000 0.0000
Sn 0.5000 0.5000 0.5000
S 0.0000 0.5000 0.5000
Cl 0.5000 0.5000 0.0000

As for the crystal system: tetragonal. The energy above the lowest structure with this stoichiometry comes out at 1.0044 eV per atom. The value obtained for the magnetization is 0.13 μB per cell. For the energy, the calculation gives -4.131 eV/atom. For the uncorrected formation energy, the calculation gives 0.27 eV per atom.